This record from the Alexandria database describes a crystal of Mg2AsOs relaxed with PBEsol. The functional is SCAN.

## Properties
electronic total energy = -25.51 eV per atom
formation enthalpy at 0 K = -0.0086 eV/atom
crystal system = tetragonal

Cell lengths 3.405, 3.405, 5.493 Å; angles 90.00, 90.00, 90.00 degrees
Space group P4/mmm (No. 123)
Inequivalent atoms, fractional coordinates:
Mg 0.000 0.000 0.239 [2 per cell]
As 0.500 0.500 0.500 [1 per cell]
Os 0.500 0.500 0.000 [1 per cell]